[1]
Material: Sm2Cd6Au3
Method: DFT, PBE
State: relaxed

Calculated values
As for the electronic total energy: -28.24 eV for the cell shown. Its space group is No. 189.

a = 8.286 Å, b = 8.286 Å, c = 4.427 Å
α = 90.00°, β = 90.00°, γ = 120.00°
Fractional positions:
Sm: 0.333 0.667 0.000
Sm: 0.667 0.333 0.000
Cd: 0.000 0.204 0.000
Cd: 0.000 0.731 0.500
Cd: 0.204 0.000 0.000
Cd: 0.269 0.269 0.500
Cd: 0.731 0.000 0.500
Cd: 0.796 0.796 0.000
Au: 0.000 0.408 0.500
Au: 0.408 0.000 0.500
Au: 0.592 0.592 0.500

[2]
Material: Pa3Ni3Sb4
Method: DFT, PBE
State: relaxed

Calculated values
As for the electronic total energy: -137.86 eV for the cell shown. The uncorrected formation energy is -0.66 eV per atom. Its space group is No. 220.

a = 8.162 Å, b = 8.162 Å, c = 8.162 Å
α = 109.47°, β = 109.47°, γ = 109.47°
Fractional positions:
Pa: 0.125 0.750 0.875
Pa: 0.250 0.625 0.375
Pa: 0.375 0.250 0.625
Pa: 0.625 0.375 0.250
Pa: 0.750 0.875 0.125
Pa: 0.875 0.125 0.750
Ni: 0.125 0.875 0.250
Ni: 0.250 0.125 0.875
Ni: 0.375 0.625 0.750
Ni: 0.625 0.750 0.375
Ni: 0.750 0.375 0.625
Ni: 0.875 0.250 0.125
Sb: 0.000 0.333 0.500
Sb: 0.000 0.833 0.500
Sb: 0.167 0.167 0.167
Sb: 0.333 0.500 0.000
Sb: 0.500 0.000 0.333
Sb: 0.500 0.000 0.833
Sb: 0.667 0.667 0.667
Sb: 0.833 0.500 0.000

[3]
Material: ScBe
Method: DFT, PBE
State: relaxed

Calculated values
As for the electronic total energy: -39.95 eV for the cell shown. Its space group is No. 74.

a = 3.124 Å, b = 4.384 Å, c = 9.237 Å
α = 90.00°, β = 90.00°, γ = 90.00°
Fractional positions:
Sc: 0.000 0.250 0.106
Sc: 0.000 0.750 0.894
Sc: 0.500 0.250 0.394
Sc: 0.500 0.750 0.606
Be: 0.000 0.250 0.670
Be: 0.000 0.750 0.330
Be: 0.500 0.250 0.830
Be: 0.500 0.750 0.170

[4]
Material: TaRu2Rh
Method: DFT, PBE
State: relaxed

Calculated values
As for the electronic total energy: -37.83 eV for the cell shown. Its energy above the most stable polymorph in this dataset is 316 meV per atom. Its space group is No. 123.

a = 2.775 Å, b = 2.775 Å, c = 7.821 Å
α = 90.00°, β = 90.00°, γ = 90.00°
Fractional positions:
Ta: 0.000 0.000 0.000
Ru: 0.500 0.500 0.260
Ru: 0.500 0.500 0.740
Rh: 0.000 0.000 0.500

[5]
Material: Ce6TlOs
Method: DFT, PBE
State: relaxed

Calculated values
As for the electronic total energy: -98.61 eV for the cell shown. Its space group is No. 12.

a = 7.886 Å, b = 9.666 Å, c = 6.318 Å
α = 90.00°, β = 108.30°, γ = 90.00°
Fractional positions:
Ce: 0.119 0.205 0.309
Ce: 0.119 0.795 0.309
Ce: 0.185 0.500 0.095
Ce: 0.315 0.000 0.905
Ce: 0.381 0.295 0.691
Ce: 0.381 0.705 0.691
Ce: 0.619 0.295 0.309
Ce: 0.619 0.705 0.309
Ce: 0.685 0.000 0.095
Ce: 0.815 0.500 0.905
Ce: 0.881 0.205 0.691
Ce: 0.881 0.795 0.691
Tl: 0.000 0.500 0.500
Tl: 0.500 0.000 0.500
Os: 0.000 0.000 0.000
Os: 0.500 0.500 0.000

[6]
Material: Fe2HgSb
Method: DFT, PBE
State: relaxed

Calculated values
As for the electronic total energy: -19.57 eV for the cell shown. The uncorrected formation energy is 0.44 eV per atom. Its space group is No. 123.

a = 3.268 Å, b = 3.268 Å, c = 6.301 Å
α = 90.00°, β = 90.00°, γ = 90.00°
Fractional positions:
Fe: 0.000 0.000 0.221
Fe: 0.000 0.000 0.779
Hg: 0.500 0.500 0.500
Sb: 0.500 0.500 0.000

[7]
Material: LaCuSn
Method: DFT, PBE
State: relaxed

Calculated values
As for the electronic total energy: -28.41 eV for the cell shown. Its space group is No. 6.

a = 5.168 Å, b = 4.218 Å, c = 7.264 Å
α = 90.00°, β = 101.69°, γ = 90.00°
Fractional positions:
La: 0.000 0.000 0.000
La: 0.390 0.000 0.581
Cu: 0.313 0.500 0.277
Cu: 0.567 0.000 0.218
Sn: 0.487 0.500 0.957
Sn: 0.856 0.500 0.412

[8]
Material: Ba2NaP
Method: DFT, PBE
State: relaxed

Calculated values
As for the electronic total energy: -39.02 eV for the cell shown. Its space group is No. 166.

a = 4.695 Å, b = 4.695 Å, c = 29.684 Å
α = 90.00°, β = 90.00°, γ = 120.00°
Fractional positions:
Ba: 0.000 0.000 0.224
Ba: 0.000 0.000 0.776
Ba: 0.333 0.667 0.443
Ba: 0.333 0.667 0.891
Ba: 0.667 0.333 0.109
Ba: 0.667 0.333 0.557
Na: 0.000 0.000 0.000
Na: 0.333 0.667 0.667
Na: 0.667 0.333 0.333
P: 0.000 0.000 0.500
P: 0.333 0.667 0.167
P: 0.667 0.333 0.833

[9]
Material: CdBPt3
Method: DFT, PBE
State: relaxed

Calculated values
As for the electronic total energy: -53.36 eV for the cell shown. Its energy above the most stable polymorph in this dataset is 159 meV per atom. Its space group is No. 148.

a = 7.967 Å, b = 7.967 Å, c = 7.967 Å
α = 36.72°, β = 36.72°, γ = 36.72°
Fractional positions:
Cd: 0.168 0.168 0.168
Cd: 0.832 0.832 0.832
B: 0.334 0.334 0.334
B: 0.666 0.666 0.666
Pt: 0.060 0.734 0.388
Pt: 0.266 0.612 0.940
Pt: 0.388 0.060 0.734
Pt: 0.612 0.940 0.266
Pt: 0.734 0.388 0.060
Pt: 0.940 0.266 0.612